The following is a DFT calculation (GGA-PBEsol) of an optimized crystal structure of Ru2RhW.

The space group is Pmmm (No. 47) and the conventional cell measures 2.6963, 3.7986 and 5.4486 Å, with angles of 90.00, 90.00 and 90.00 degrees. The distinct sites, in fractional coordinates, are Ru at (0.0000, 0.0000, 0.2441), Rh at (0.5000, 0.5000, 0.0000) and W at (0.5000, 0.5000, 0.5000).

The formation energy comes out at 0.1 eV per formula unit. As for the electronic total energy: -10.541 eV/atom. For the density of states at the Fermi level, the calculation gives 4.202 states/eV/cell. The energy above the lowest structure with this stoichiometry is 149 meV/atom. The calculation puts the volume at 55.8 Å³ per cell.

The following is a DFT calculation (GGA-PBEsol) of an optimized crystal structure of Al2TlSe.

The space group is Imm2 (No. 44) and the conventional cell measures 3.4123, 5.1607 and 9.7481 Å, with angles of 90.00, 90.00 and 90.00 degrees. The distinct sites, in fractional coordinates, are Al at (0.0000, 0.0000, 0.0000), Al at (0.0000, 0.5000, 0.2631), Tl at (0.0000, 0.0000, 0.4781) and Se at (0.0000, 0.5000, 0.6902).

As for the electronic total energy: -3.653 eV/atom. For the density of states at the Fermi level, the calculation gives 3.280 states/eV/cell. The formation energy (no corrections) is 13 meV per atom. The energy above the lowest structure with this stoichiometry is 105 meV/atom. The calculation puts the volume at 171.7 Å³ per cell.

The following is a DFT calculation (GGA-PBEsol) of an optimized crystal structure of Li2LaScSi.

The space group is P4/mmm (No. 123) and the conventional cell measures 4.8665, 4.8665 and 5.4106 Å, with angles of 90.00, 90.00 and 90.00 degrees. The distinct sites, in fractional coordinates, are Li at (0.0000, 0.5000, 0.0000), La at (0.0000, 0.0000, 0.5000), Sc at (0.0000, 0.0000, 0.0000) and Si at (0.5000, 0.5000, 0.5000).

As for the electronic total energy: -3.366 eV/atom. For the density of states at the Fermi level, the calculation gives 5.316 states/eV/cell. The formation energy (no corrections) is 960 meV per atom. The calculation puts the volume at 128.1 Å³ per cell.

The following is a DFT calculation (GGA-PBEsol) of an optimized crystal structure of Y2ZrS5.

The space group is Pnma (No. 62) and the conventional cell measures 11.3982, 7.6648 and 7.1585 Å, with angles of 90.00, 90.00 and 90.00 degrees. The distinct sites, in fractional coordinates, are Y at (0.1787, 0.0026, 0.0238), Zr at (0.0074, 0.7500, 0.5793), S at (0.0027, 0.7500, 0.9509), S at (0.0939, 0.0396, 0.6626), S at (0.1821, 0.7500, 0.3308) and S at (0.2095, 0.2500, 0.3092).

As for the electronic total energy: -7.556 eV/atom. The formation energy (no corrections) is -1975 meV per atom. The calculation puts the volume at 625.4 Å³ per cell.